# As3Cl

As3Cl after structural relaxation (GGA-PBE, Alexandria).

Unit cell a=6.657 b=6.657 c=5.026 alpha=90.00 beta=90.00 gamma=116.14
Positions (direct):
As 0.120 0.245 0.750
As 0.129 0.871 0.750
As 0.245 0.120 0.250
As 0.755 0.880 0.750
As 0.871 0.129 0.250
As 0.880 0.755 0.250
Cl 0.346 0.654 0.250
Cl 0.654 0.346 0.750

Calculated values
Distance to the lowest polymorph of the same formula: 3.33 kJ/mol of atoms
Formation energy (no corrections): 0.2 eV/f.u.
Symmetry: No. 63
Total magnetization: 0.00 μB/cell



# LiSiRuPt

LiSiRuPt after structural relaxation (GGA-PBE, Alexandria).

Unit cell a=4.134 b=4.134 c=4.134 alpha=60.00 beta=60.00 gamma=60.00
Positions (direct):
Li 0.000 0.000 0.000
Si 0.500 0.500 0.500
Ru 0.250 0.250 0.250
Pt 0.750 0.750 0.750

Calculated values
Formation energy (no corrections): -2.7 eV/f.u.
Symmetry: No. 216
Total magnetization: 0.00 μB/cell



# Hf2ZnCr

Hf2ZnCr after structural relaxation (GGA-PBE, Alexandria).

Unit cell a=3.263 b=3.263 c=6.570 alpha=90.00 beta=90.00 gamma=90.00
Positions (direct):
Hf 0.000 0.000 0.235
Hf 0.000 0.000 0.765
Zn 0.500 0.500 0.500
Cr 0.500 0.500 0.000

Calculated values
Formation enthalpy at 0 K: -67 meV per atom
Symmetry: No. 123
Total magnetization: 0.85 μB/cell



# YGe3N

YGe3N after structural relaxation (GGA-PBE, Alexandria).

Unit cell a=4.463 b=4.463 c=4.463 alpha=90.00 beta=90.00 gamma=90.00
Positions (direct):
Y 0.000 0.000 0.000
Ge 0.000 0.500 0.500
Ge 0.500 0.000 0.500
Ge 0.500 0.500 0.000
N 0.500 0.500 0.500

Calculated values
Distance to the lowest polymorph of the same formula: 0.00 kJ/mol of atoms
Formation energy (no corrections): 1.1 eV/f.u.
Symmetry: No. 221
Total magnetization: 0.00 μB/cell



# Fe5Re

Fe5Re after structural relaxation (GGA-PBE, Alexandria).

Unit cell a=4.042 b=6.767 c=6.767 alpha=21.57 beta=90.00 gamma=90.00
Positions (direct):
Fe 0.000 0.000 0.000
Fe 0.000 0.322 0.322
Fe 0.000 0.662 0.662
Fe 0.500 0.213 0.213
Fe 0.500 0.557 0.557
Re 0.500 0.887 0.887

Calculated values
Distance to the lowest polymorph of the same formula: 6.05 kJ/mol of atoms
Formation enthalpy at 0 K: 83 meV per atom
Symmetry: No. 38
Total magnetization: 0.89 μB/cell



# NdGdPt

NdGdPt after structural relaxation (GGA-PBE, Alexandria).

Unit cell a=4.968 b=4.968 c=4.968 alpha=60.00 beta=60.00 gamma=60.00
Positions (direct):
Nd 0.000 0.000 0.000
Gd 0.500 0.500 0.500
Pt 0.750 0.750 0.750

Calculated values
Distance to the lowest polymorph of the same formula: 0.00 kJ/mol of atoms
Formation enthalpy at 0 K: -764 meV per atom
Symmetry: No. 216
Total magnetization: 7.21 μB/cell



What did the second record say?
# LiSiRuPt

LiSiRuPt after structural relaxation (GGA-PBE, Alexandria).

Unit cell a=4.134 b=4.134 c=4.134 alpha=60.00 beta=60.00 gamma=60.00
Positions (direct):
Li 0.000 0.000 0.000
Si 0.500 0.500 0.500
Ru 0.250 0.250 0.250
Pt 0.750 0.750 0.750

Calculated values
Formation energy (no corrections): -2.7 eV/f.u.
Symmetry: No. 216
Total magnetization: 0.00 μB/cell